# ScTaSi2

A relaxed ScTaSi2 crystal (PBE, Alexandria).

a b c (Å): 3.803 3.808 4.531
angles (deg): 90.00 90.00 90.00
Fractional coordinates of all 4 atoms:
Sc  0.000  0.000  0.000
Ta  0.500  0.000  0.500
Si  0.000  0.500  0.500
Si  0.500  0.500  0.000

Properties
Raw formation energy in meV/atom: -307
VASP energy in eV per atom: -7.5646
Energy above the most stable polymorph in this dataset in meV per atom: 347